No. 1
Compound: Zn2ReAu
Source: Alexandria
Functional: PBE
Structure: optimized geometry

For the energy, the calculation gives -4.183 eV per atom. The polymorph energy (0 for the lowest one) comes out at 298 meV per atom.

The space group is I-4m2 (No. 119) and the conventional cell measures 3.763, 3.763 and 8.682 Å, with angles of 90.00, 90.00 and 90.00 degrees. Symmetry generates all atoms from Zn at (0.000, 0.000, 0.000), Zn at (0.000, 0.500, 0.250), Re at (0.000, 0.000, 0.500) and Au at (0.000, 0.500, 0.750).

No. 2
Compound: Zn2ReAu
Source: Alexandria
Functional: PBE
Structure: optimized geometry

For the energy, the calculation gives -4.368 eV per atom. The polymorph energy (0 for the lowest one) comes out at 113 meV per atom.

The space group is R3m (No. 160, hexagonal axes) and the conventional cell measures 2.8025, 2.8025 and 27.4884 Å, with angles of 90.00, 90.00 and 120.00 degrees. Symmetry generates all atoms from Zn at (0.0000, 0.0000, 0.0000), Zn at (0.0000, 0.0000, 0.2504), Re at (0.0000, 0.0000, 0.7456) and Au at (0.0000, 0.0000, 0.4998).

No. 3
Compound: Zn2ReAu
Source: Alexandria
Functional: PBE
Structure: optimized geometry

For the energy, the calculation gives -4.189 eV per atom. The polymorph energy (0 for the lowest one) comes out at 292 meV per atom.

The space group is Fm-3m (No. 225) and the conventional cell measures 6.221, 6.221 and 6.221 Å, with angles of 90.00, 90.00 and 90.00 degrees. Symmetry generates all atoms from Zn at (0.250, 0.250, 0.250), Re at (0.000, 0.000, 0.000) and Au at (0.000, 0.000, 0.500).

No. 4
Compound: ZnReAu2
Source: Alexandria
Functional: PBE
Structure: optimized geometry

For the energy, the calculation gives -4.630 eV per atom.

The space group is Immm (No. 71) and the conventional cell measures 2.760, 4.910 and 9.736 Å, with angles of 90.00, 90.00 and 90.00 degrees. Symmetry generates all atoms from Zn at (0.000, 0.000, 0.000), Re at (0.000, 0.000, 0.500) and Au at (0.000, 0.500, 0.256).

No. 5
Compound: ZrRe4Au
Source: Alexandria
Functional: PBE
Structure: optimized geometry

For the energy, the calculation gives -10.208 eV per atom.

The space group is F-43m (No. 216) and the conventional cell measures 7.431, 7.431 and 7.431 Å, with angles of 90.00, 90.00 and 90.00 degrees. Symmetry generates all atoms from Zr at (0.000, 0.000, 0.000), Re at (0.124, 0.124, 0.376) and Au at (0.250, 0.250, 0.750).

No. 6
Compound: ZrReAu2
Source: Alexandria
Functional: PBE
Structure: optimized geometry

For the energy, the calculation gives -6.840 eV per atom. The polymorph energy (0 for the lowest one) comes out at 103 meV per atom.

The space group is Pmmm (No. 47) and the conventional cell measures 2.871, 4.240 and 5.821 Å, with angles of 90.00, 90.00 and 90.00 degrees. Symmetry generates all atoms from Zr at (0.000, 0.000, 0.000), Re at (0.000, 0.000, 0.500) and Au at (0.500, 0.500, 0.262).

For each record above, in turn, the calculated ΔH_f (0 K) values are 0.386, 0.201, 0.379, 0.439, 0.062, 0.047 eV/atom.